{
  "formula": "K2InAs",
  "functional": "PBEsol",
  "state": "optimized geometry",
  "m_tot_mub_per_fu": 0.0,
  "space_group": "No. 38",
  "delta_e_f_ev_per_atom": -0.3065,
  "mass_density_g_cm3": 3.20,
  "vol_a3_per_atom": 34.8,
  "total_energy_ev_per_cell": -11.582,
  "relative_energy_mev_per_atom": 0,
  "cell": [[4.2269, 0.0000, 0.0000], [0.0000, 2.5906, 6.3542], [0.0000, -2.5906, 6.3542]],
  "species": ["K", "K", "In", "As"],
  "frac_coords": [[0.0000, 0.0000, 0.0000], [0.5000, 0.3026, 0.3026], [0.0000, 0.7015, 0.7015], [0.5000, 0.5722, 0.5722]]
}